Record 1
The following is a GGA-PBE calculation of an optimized crystal structure of IrC3, from the Alexandria database.

Cell and atoms, written as extended XYZ:
```
8
Lattice="3.728 0.000 0.000 0.000 7.658 0.000 0.000 0.000 2.864" Properties=species:S:1:pos:R:3 pbc="T T T"
Ir 0.000 0.000 0.000
Ir 1.864 3.829 0.000
C 0.000 3.829 0.000
C 0.932 1.915 1.432
C 0.932 5.744 1.432
C 1.864 0.000 0.000
C 2.796 1.915 1.432
C 2.796 5.744 1.432
```

Total magnetization ... 0.00 Bohr magnetons per cell
SG ... No. 65
ΔH_f (0 K) ... 11.094 eV per formula unit
Fermi-level density of states ... 0.255 states/eV/atom

Record 2
The following is a GGA-PBE calculation of an optimized crystal structure of Rh, from the Alexandria database.

Cell and atoms, written as extended XYZ:
```
2
Lattice="3.080 0.000 0.000 0.000 3.080 0.000 0.000 0.000 3.080" Properties=species:S:1:pos:R:3 pbc="T T T"
Rh 0.000 0.000 0.000
Rh 1.540 1.540 1.540
```

Total magnetization ... 0.69 Bohr magnetons per cell
SG ... No. 229
ΔH_f (0 K) ... 0.335 eV per formula unit
Fermi-level density of states ... 1.811 states/eV/atom

Record 3
The following is a GGA-PBE calculation of an optimized crystal structure of K3U2CrSe6, from the Alexandria database.

Cell and atoms, written as extended XYZ:
```
12
Lattice="3.590 -6.217 0.000 3.590 6.217 0.000 -2.393 0.000 7.684" Properties=species:S:1:pos:R:3 pbc="T T T"
K 0.000 0.000 0.000
K 3.590 2.070 0.000
K 3.590 -2.070 0.000
U 2.394 4.144 3.842
U 2.394 -4.144 3.842
Cr 2.394 0.000 3.842
Se 1.222 2.028 2.296
Se 0.049 0.000 5.390
Se 1.222 -2.028 2.296
Se 3.565 2.028 5.389
Se 4.738 0.000 2.295
Se 3.565 -2.028 5.389
```

E_form (uncorrected) ... -1.09 eV per atom
Total magnetization ... 9.00 Bohr magnetons per cell
SG ... No. 12
Fermi-level density of states ... 1.495 states/eV/atom

Record 4
The following is a GGA-PBE calculation of an optimized crystal structure of Zn2Fe2Pd, from the Alexandria database.

Cell and atoms, written as extended XYZ:
```
10
Lattice="7.154 0.000 0.000 0.000 7.154 0.000 0.000 0.000 2.689" Properties=species:S:1:pos:R:3 pbc="T T T"
Zn 1.310 2.267 0.000
Zn 2.267 5.844 0.000
Zn 4.887 1.310 0.000
Zn 5.844 4.887 0.000
Fe 0.808 4.385 1.345
Fe 2.769 0.808 1.345
Fe 4.385 6.347 1.345
Fe 6.347 2.769 1.345
Pd 0.000 0.000 1.345
Pd 3.577 3.577 1.345
```

Total magnetization ... 9.31 Bohr magnetons per cell
SG ... No. 127
ΔH_f (0 K) ... 0.404 eV per formula unit
Fermi-level density of states ... 0.692 states/eV/atom

Record 5
The following is a GGA-PBE calculation of an optimized crystal structure of HoTcB4, from the Alexandria database.

Cell and atoms, written as extended XYZ:
```
12
Lattice="3.150 0.000 0.000 0.000 5.363 0.000 0.000 0.000 7.101" Properties=species:S:1:pos:R:3 pbc="T T T"
Ho 0.000 0.000 0.000
Ho 1.575 2.682 3.550
Tc 0.000 0.000 3.550
Tc 1.575 2.682 0.000
B 0.000 1.801 1.772
B 0.000 1.801 5.329
B 0.000 3.562 1.772
B 0.000 3.562 5.329
B 1.575 0.880 1.778
B 1.575 0.880 5.322
B 1.575 4.483 1.778
B 1.575 4.483 5.322
```

Total magnetization ... 0.00 Bohr magnetons per cell
SG ... No. 71
ΔH_f (0 K) ... -2.356 eV per formula unit
Fermi-level density of states ... 0.282 states/eV/atom

Record 6
The following is a GGA-PBE calculation of an optimized crystal structure of K3GeRh3O8, from the Alexandria database.

Cell and atoms, written as extended XYZ:
```
15
Lattice="3.126 1.805 6.067 -3.126 1.805 6.067 0.000 -3.610 6.067" Properties=species:S:1:pos:R:3 pbc="T T T"
K -1.563 -0.902 6.067
K -1.563 0.902 12.134
K 0.000 1.805 6.067
Ge 0.000 0.000 9.100
Rh -3.126 0.000 9.100
Rh -1.563 0.902 3.033
Rh 1.563 0.902 3.033
O 0.000 0.000 4.056
O -1.485 -0.857 10.102
O 0.000 -1.714 8.099
O -1.485 0.857 8.099
O 1.485 -0.857 10.102
O 0.000 1.714 10.102
O 1.485 0.857 8.099
O 0.000 0.000 14.145
```

E_form (uncorrected) ... -1.21 eV per atom
Total magnetization ... 0.00 Bohr magnetons per cell
SG ... No. 166